A plane-wave DFT calculation with PBE with a Hubbard U was carried out for a relaxed BeVO2F crystal.

Cell: 3.6210 3.6210 3.1483 Å, 90.00 90.00 90.00°
Sites, in units of the cell vectors:
Be  0.0000  0.0000  0.0000
V  0.5000  0.5000  0.5000
O  0.0000  0.5000  0.0000
O  0.5000  0.0000  0.0000
F  0.0000  0.0000  0.5000

Properties
Final energy, eV/cell: -31.974